Record 1
{
  "formula": "SrZn4Au2",
  "functional": "PBE",
  "state": "relaxed",
  "polymorph_energy_mev_per_atom": 0,
  "e_form_ev_per_atom": -0.40,
  "space_group": "No. 136",
  "lattice": [[4.166, 0.000, 0.000], [0.000, 8.102, 0.000], [0.000, 0.000, 8.102]],
  "species": ["Sr", "Sr", "Zn", "Zn", "Zn", "Zn", "Zn", "Zn", "Zn", "Zn", "Au", "Au", "Au", "Au"],
  "frac_coords": [[0.500, 0.000, 0.000], [0.000, 0.500, 0.500], [0.000, 0.085, 0.353], [0.000, 0.915, 0.647], [0.500, 0.147, 0.585], [0.500, 0.853, 0.415], [0.500, 0.415, 0.853], [0.500, 0.585, 0.147], [0.000, 0.353, 0.085], [0.000, 0.647, 0.915], [0.000, 0.216, 0.784], [0.000, 0.784, 0.216], [0.500, 0.716, 0.716], [0.500, 0.284, 0.284]]
}

Record 2
{
  "formula": "YMgZr2",
  "functional": "PBE",
  "state": "relaxed",
  "e_form_ev_per_atom": 0.14,
  "space_group": "No. 10",
  "lattice": [[5.444, 0.000, 0.000], [0.000, 3.152, -0.012], [0.000, 0.924, 5.788]],
  "species": ["Mg", "Y", "Zr", "Zr"],
  "frac_coords": [[0.500, 0.250, 0.250], [0.500, 0.750, 0.750], [0.000, 0.067, 0.017], [0.000, 0.433, 0.483]]
}

Record 3
{
  "formula": "RbNaReAu2",
  "functional": "PBE",
  "state": "relaxed",
  "e_form_ev_per_atom": 1.36,
  "space_group": "No. 123",
  "lattice": [[5.472, 0.000, 0.000], [0.000, 5.499, 0.000], [0.000, 0.000, 5.472]],
  "species": ["Re", "Au", "Au", "Rb", "Na"],
  "frac_coords": [[0.000, 0.500, 0.000], [0.000, 0.000, 0.500], [0.500, 0.000, 0.000], [0.500, 0.500, 0.500], [0.000, 0.000, 0.000]]
}

Record 4
{
  "formula": "AcCrCdH6",
  "functional": "PBE",
  "state": "relaxed",
  "space_group": "No. 187",
  "lattice": [[4.812, 0.000, 0.001], [2.406, 4.167, 0.001], [-0.001, -0.001, 4.790]],
  "species": ["Ac", "Cr", "Cd", "H", "H", "H", "H", "H", "H"],
  "frac_coords": [[0.000, 0.000, 0.000], [0.333, 0.333, 0.500], [0.667, 0.667, 0.500], [0.053, 0.473, 0.233], [0.473, 0.053, 0.767], [0.473, 0.473, 0.767], [0.053, 0.473, 0.767], [0.473, 0.474, 0.233], [0.474, 0.053, 0.233]]
}

Record 5
{
  "formula": "RbPa2SiO8",
  "functional": "PBE",
  "state": "relaxed",
  "e_form_raw_kj_per_mol_fu": -3079.1,
  "space_group": "No. 10",
  "lattice": [[4.842, 0.135, -0.003], [0.185, 4.840, -0.004], [0.005, 0.008, 7.347]],
  "species": ["Rb", "Pa", "Pa", "Si", "O", "O", "O", "O", "O", "O", "O", "O"],
  "frac_coords": [[0.000, 0.000, 0.500], [0.500, 0.500, 0.766], [0.500, 0.500, 0.234], [0.000, 0.000, 0.000], [0.191, 0.809, 0.172], [0.719, 0.719, 0.000], [0.809, 0.191, 0.172], [0.809, 0.191, 0.828], [0.281, 0.281, 0.000], [0.191, 0.809, 0.828], [0.657, 0.659, 0.500], [0.343, 0.341, 0.500]]
}

Record 6
{
  "formula": "Hf2NbPb",
  "functional": "PBE",
  "state": "relaxed",
  "e_form_ev_per_atom": 0.58,
  "space_group": "No. 122",
  "lattice": [[4.211, 0.000, 0.000], [0.000, 4.211, 0.000], [2.105, 2.105, 10.464]],
  "species": ["Pb", "Pb", "Nb", "Nb", "Hf", "Hf", "Hf", "Hf"],
  "frac_coords": [[0.000, 0.000, 0.000], [0.750, 0.250, 0.500], [0.500, 0.500, 0.000], [0.250, 0.750, 0.500], [0.619, 0.125, 0.250], [0.131, 0.625, 0.250], [0.375, 0.381, 0.750], [0.875, 0.869, 0.750]]
}

Record 7
{
  "formula": "K5Cd4Sb4",
  "functional": "PBE",
  "state": "relaxed",
  "e_form_raw_kj_per_mol_fu": -429.8,
  "space_group": "No. 87",
  "lattice": [[-2.571, 3.803, -1.296], [-6.549, 1.106, 7.458], [4.961, 7.702, 3.977]],
  "species": ["K", "K", "K", "K", "K", "Cd", "Cd", "Cd", "Cd", "Sb", "Sb", "Sb", "Sb"],
  "frac_coords": [[0.706, 0.934, 0.654], [0.294, 0.066, 0.346], [0.000, 0.000, 0.000], [0.640, 0.654, 0.066], [0.360, 0.346, 0.934], [0.892, 0.528, 0.689], [0.581, 0.311, 0.528], [0.108, 0.472, 0.311], [0.419, 0.689, 0.472], [0.728, 0.318, 0.227], [0.272, 0.682, 0.773], [0.955, 0.773, 0.318], [0.045, 0.227, 0.682]]
}

Record 8
{
  "formula": "NdYAs",
  "functional": "PBE",
  "state": "relaxed",
  "e_form_ev_per_atom": -0.87,
  "space_group": "No. 156",
  "lattice": [[-5.709, 1.987, -2.723], [-1.146, -3.852, -0.408], [-0.903, 2.029, 3.374]],
  "species": ["Y", "As", "Nd"],
  "frac_coords": [[0.255, 0.333, 0.667], [0.007, 0.000, 0.000], [0.738, 0.667, 0.333]]
}

Record 9
{
  "formula": "Tm2PaTl3Te6",
  "functional": "PBE",
  "state": "relaxed",
  "e_form_raw_kj_per_mol_fu": -993.5,
  "space_group": "No. 12",
  "lattice": [[7.605, 0.000, 0.000], [-3.801, 6.588, 0.000], [-1.269, -2.197, 8.303]],
  "species": ["Tm", "Tm", "Pa", "Tl", "Tl", "Tl", "Te", "Te", "Te", "Te", "Te", "Te"],
  "frac_coords": [[0.333, 0.667, 0.000], [0.667, 0.333, 0.000], [0.000, 0.000, 0.000], [0.165, 0.835, 0.500], [0.835, 0.165, 0.500], [0.500, 0.500, 0.500], [0.929, 0.591, 0.787], [0.733, 0.733, 0.213], [0.071, 0.409, 0.213], [0.591, 0.929, 0.787], [0.267, 0.267, 0.787], [0.409, 0.071, 0.213]]
}

Record 10
{
  "formula": "NaAgHgAu",
  "functional": "PBE",
  "state": "relaxed",
  "e_form_ev_per_atom": -0.12,
  "space_group": "No. 216",
  "lattice": [[-0.317, -4.679, 1.283], [3.957, -2.376, 1.527], [0.419, -1.273, 4.674]],
  "species": ["Na", "Au", "Hg", "Ag"],
  "frac_coords": [[0.000, 0.000, 0.000], [0.500, 0.500, 0.500], [0.750, 0.750, 0.750], [0.250, 0.250, 0.250]]
}

Record 11
{
  "formula": "Ba2Li17Mg3",
  "functional": "PBE",
  "state": "relaxed",
  "e_form_ev_per_atom": 0.11,
  "space_group": "No. 166",
  "lattice": [[-7.537, 3.084, 1.909], [-0.670, -4.309, 7.137], [3.025, 6.176, 4.759]],
  "species": ["Ba", "Ba", "Li", "Li", "Li", "Li", "Li", "Li", "Li", "Li", "Li", "Li", "Li", "Li", "Li", "Li", "Li", "Li", "Li", "Mg", "Mg", "Mg"],
  "frac_coords": [[0.315, 0.315, 0.315], [0.685, 0.685, 0.685], [0.500, 0.000, 0.000], [0.000, 0.000, 0.500], [0.000, 0.500, 0.000], [0.000, 0.750, 0.250], [0.750, 0.250, 0.000], [0.250, 0.000, 0.750], [0.250, 0.750, 0.000], [0.750, 0.000, 0.250], [0.000, 0.250, 0.750], [0.213, 0.673, 0.673], [0.673, 0.673, 0.213], [0.673, 0.213, 0.673], [0.787, 0.327, 0.327], [0.327, 0.327, 0.787], [0.327, 0.787, 0.327], [0.089, 0.089, 0.089], [0.911, 0.911, 0.911], [0.000, 0.500, 0.500], [0.500, 0.500, 0.000], [0.500, 0.000, 0.500]]
}

Calculated density of states at the Fermi level, 3.11 6.03 2.43 2.22 5.76 9.51 3.88 2.44 9.50 0.97 13.22 states/eV/cell (same order as the records).
Calculated electronic total energy, -2.305 -6.151 -2.901 -4.010 -8.080 -7.841 -2.315 -6.159 -4.557 -2.058 -1.763 eV per atom (same order as the records).